1.
First-principles (PBE) data for a relaxed InFe2Mo crystal, as listed in the Alexandria database.

Properties
The formation energy is 40 kJ per mole of atoms. The crystal system is trigonal.

a b c (Å): 2.8966 2.8966 25.5766
angles (deg): 90.00 90.00 120.00
Space group R3m (No. 160, hexagonal axes)
Inequivalent atoms, fractional coordinates:
In 0.0000 0.0000 0.0000 (multiplicity 3)
Fe 0.0000 0.0000 0.4922 (multiplicity 3)
Fe 0.0000 0.0000 0.7557 (multiplicity 3)
Mo 0.0000 0.0000 0.2371 (multiplicity 3)

---

2.
First-principles (PBE) data for a relaxed CaCrSi4 crystal, as listed in the Alexandria database.

Properties
The calculation puts the total DFT energy (no corrections) at -5.367 eV per atom. The crystal system is cubic.

a b c (Å): 7.354 7.354 7.354
angles (deg): 90.00 90.00 90.00
Space group F-43m (No. 216)
Inequivalent atoms, fractional coordinates:
Ca 0.000 0.000 0.000 (multiplicity 4)
Cr 0.250 0.250 0.750 (multiplicity 4)
Si 0.124 0.124 0.376 (multiplicity 16)

---

3.
First-principles (PBE) data for a relaxed Tm2NiSn crystal, as listed in the Alexandria database.

Properties
The formation energy is -44 kJ per mole of atoms. Its relative energy among the computed polymorphs is 0.131 eV per atom. The crystal system is cubic.

a b c (Å): 7.102 7.102 7.102
angles (deg): 90.00 90.00 90.00
Space group Fm-3m (No. 225)
Inequivalent atoms, fractional coordinates:
Tm 0.250 0.250 0.250 (multiplicity 8)
Ni 0.000 0.000 0.000 (multiplicity 4)
Sn 0.000 0.000 0.500 (multiplicity 4)

---

4.
First-principles (PBE) data for a relaxed LiSc crystal, as listed in the Alexandria database.

Properties
The formation energy is 10 kJ per mole of atoms. Its relative energy among the computed polymorphs is 0.017 eV per atom. The crystal system is orthorhombic.

a b c (Å): 3.709 5.049 9.799
angles (deg): 90.00 90.00 90.00
Space group Cmme (No. 67)
Inequivalent atoms, fractional coordinates:
Li 0.000 0.250 0.117 (multiplicity 4)
Sc 0.000 0.250 0.624 (multiplicity 4)

---

5.
First-principles (PBE) data for a relaxed InHgPb6 crystal, as listed in the Alexandria database.

Properties
The formation energy is 0 kJ per mole of atoms. The crystal system is tetragonal.

a b c (Å): 4.940 4.940 9.925
angles (deg): 90.00 90.00 90.00
Space group P4/mmm (No. 123)
Inequivalent atoms, fractional coordinates:
In 0.000 0.000 0.000 (multiplicity 1)
Hg 0.000 0.000 0.500 (multiplicity 1)
Pb 0.000 0.500 0.252 (multiplicity 4)
Pb 0.500 0.500 0.000 (multiplicity 1)
Pb 0.500 0.500 0.500 (multiplicity 1)

---

6.
First-principles (PBE) data for a relaxed Sr5Pb2O2 crystal, as listed in the Alexandria database.

Properties
The calculation puts the total DFT energy (no corrections) at -4.283 eV per atom. The crystal system is orthorhombic.

a b c (Å): 18.800 7.890 7.613
angles (deg): 90.00 90.00 90.00
Space group Ima2 (No. 46)
Inequivalent atoms, fractional coordinates:
Sr 0.010 0.247 0.000 (multiplicity 8)
Sr 0.137 0.558 0.751 (multiplicity 8)
Sr 0.250 0.243 0.992 (multiplicity 4)
Pb 0.116 0.506 0.246 (multiplicity 8)
O 0.000 0.000 0.244 (multiplicity 4)
O 0.250 0.065 0.247 (multiplicity 4)

---

7.
First-principles (PBE) data for a relaxed NbCr2FeSn crystal, as listed in the Alexandria database.

Properties
The formation energy is 154 kJ per mole of atoms. The crystal system is tetragonal.

a b c (Å): 4.632 4.632 5.333
angles (deg): 90.00 90.00 90.00
Space group P4/mmm (No. 123)
Inequivalent atoms, fractional coordinates:
Nb 0.000 0.000 0.000 (multiplicity 1)
Cr 0.000 0.500 0.000 (multiplicity 2)
Fe 0.500 0.500 0.500 (multiplicity 1)
Sn 0.000 0.000 0.500 (multiplicity 1)

---

8.
First-principles (PBE) data for a relaxed Zr2Zn2Ir crystal, as listed in the Alexandria database.

Properties
The formation energy is -39 kJ per mole of atoms. Its relative energy among the computed polymorphs is 0.000 eV per atom. The crystal system is monoclinic.

a b c (Å): 10.036 4.573 8.514
angles (deg): 90.00 112.64 90.00
Space group C2/m (No. 12)
Inequivalent atoms, fractional coordinates:
Zr 0.095 0.000 0.384 (multiplicity 4)
Zr 0.162 0.000 0.051 (multiplicity 4)
Zn 0.003 0.500 0.153 (multiplicity 4)
Zn 0.115 0.500 0.618 (multiplicity 4)
Ir 0.212 0.000 0.757 (multiplicity 4)

---

What did the third record say?
First-principles (PBE) data for a relaxed Tm2NiSn crystal, as listed in the Alexandria database.

Properties
The formation energy is -44 kJ per mole of atoms. Its relative energy among the computed polymorphs is 0.131 eV per atom. The crystal system is cubic.

a b c (Å): 7.102 7.102 7.102
angles (deg): 90.00 90.00 90.00
Space group Fm-3m (No. 225)
Inequivalent atoms, fractional coordinates:
Tm 0.250 0.250 0.250 (multiplicity 8)
Ni 0.000 0.000 0.000 (multiplicity 4)
Sn 0.000 0.000 0.500 (multiplicity 4)

---

Question: What is the formula in the sixth record?
Answer: Sr5Pb2O2